TbPaAgO6 (GGA-PBE, optimized geometry); space-group type = P312; energy relative to the elements, uncorrected = -2.181 eV per atom; spin magnetization = 0.72 μB per formula unit; final energy = -66.352 eV/cell
1.0
5.501 0.000 0.000
-2.751 4.764 0.000
0.000 0.000 4.932
Tb Pa Ag O
1 1 1 6
Direct
0.000 0.000 0.000 Tb
0.667 0.333 0.500 Pa
0.333 0.667 0.000 Ag
0.354 0.003 0.245 O
0.354 0.350 0.755 O
0.650 0.003 0.755 O
0.650 0.646 0.245 O
0.997 0.350 0.245 O
0.997 0.646 0.755 O